A relaxed Tb6SbAs2Se3 crystal. Source: Alexandria, functional PBE-GGA.

Calculated values
Calculated total energy, eV per atom: -5.93
Energy relative to the elements, uncorrected, eV/atom: -1.627

Cell: 18.1747 4.1645 8.3464 Å, 90.00 103.10 90.00°
Closest atoms and distances in Å follow each position.
Space group C2/m (No. 12)
Inequivalent atoms, fractional coordinates:
Tb 0.0045 0.0000 0.2617 x4  1 As 2.88, 3 Se 2.89-2.99, 2 Sb 3.01
Tb 0.1704 0.5000 0.5772 x4  3 As 2.87-2.89, 3 Se 3.00-3.02
Tb 0.1713 0.5000 0.0972 x4  2 As 2.89, 3 Se 2.91-3.01, 1 Sb 3.03
Sb 0.0000 0.5000 0.0000 x2  6 Tb 3.01-3.03
As 0.1673 0.0000 0.3348 x4  6 Tb 2.87-2.89
Se 0.0000 0.5000 0.5000 x2  6 Tb 2.89-3.02
Se 0.1644 0.0000 0.8330 x4  6 Tb 2.91-3.01